No. 1
{"formula": "Ca2La3Ru", "functional": "GGA-PBE", "state": "optimized geometry", "lattice_angstrom": [[5.373, 0.000, -1.765], [-0.024, 8.085, -0.073], [0.383, 2.115, 10.224]], "species": ["Ca", "Ca", "Ca", "Ca", "La", "La", "La", "La", "La", "La", "Ru", "Ru"], "frac_coords": [[0.300, 0.350, 0.600], [0.300, 0.850, 0.600], [0.700, 0.150, 0.400], [0.700, 0.650, 0.400], [0.501, 0.750, 0.000], [0.499, 0.250, 0.000], [0.900, 0.050, 0.801], [0.100, 0.450, 0.199], [0.900, 0.550, 0.801], [0.100, 0.950, 0.199], [0.999, 0.250, 0.000], [0.001, 0.750, 0.000]], "sg": "C2/c (15)", "rho_g_cm3": 4.41, "ef_mev_per_atom": -130, "vol_a3_per_atom": 37.54}


No. 2
{"formula": "TlIn2Ga2", "functional": "GGA-PBE", "state": "optimized geometry", "lattice_angstrom": [[-4.553, -1.616, -6.513], [6.070, -4.348, -3.165], [-1.346, -3.130, 1.718]], "species": ["Tl", "Tl", "Ga", "Ga", "Ga", "Ga", "In", "In", "In", "In"], "frac_coords": [[0.000, 0.000, 0.000], [0.500, 0.500, 0.000], [0.381, 0.881, 0.000], [0.881, 0.619, 0.000], [0.619, 0.119, 0.000], [0.119, 0.381, 0.000], [0.181, 0.681, 0.500], [0.681, 0.819, 0.500], [0.819, 0.319, 0.500], [0.319, 0.181, 0.500]], "sg": "P4/mbm (127)", "de_polymorph_mev_per_atom": 22.9, "rho_g_cm3": 7.59, "ef_mev_per_atom": 57, "vol_a3_per_atom": 25.10}